# 1
DFT (SCAN) results for IrRuBr2 at its PBEsol-relaxed geometry.

a b c (Å): 4.5012 4.5012 4.5012
angles (deg): 60.00 60.00 60.00
Last column: nearest neighbours and their distance in Å.
Positions (direct):
Ru (0.5000, 0.5000, 0.5000)  8 Br 2.76
Br (0.2500, 0.2500, 0.2500)  4 Ru 2.76, 4 Ir 2.76
Br (0.7500, 0.7500, 0.7500)  4 Ru 2.76, 4 Ir 2.76
Ir (0.0000, 0.0000, 0.0000)  8 Br 2.76

Computed properties:
space group = Fm-3m, No. 225

---

# 2
DFT (SCAN) results for IrRu2Br at its PBEsol-relaxed geometry.

a b c (Å): 4.0791 4.5456 4.0791
angles (deg): 116.66 90.00 116.66
Last column: nearest neighbours and their distance in Å.
Positions (direct):
Ir (0.0000, 0.0000, 0.0000)  8 Ru 2.69, 4 Br 2.88
Br (0.5000, 0.0000, 0.5000)  8 Ru 2.69, 4 Ir 2.88
Ru (0.2500, 0.5000, 0.7500)  4 Ir 2.69, 4 Br 2.69, 4 Ru 2.88
Ru (0.7500, 0.5000, 0.2500)  4 Ir 2.69, 4 Br 2.69, 4 Ru 2.88

Computed properties:
space group = I4/mmm, No. 139

---

# 3
DFT (SCAN) results for IrRu2Br at its PBEsol-relaxed geometry.

a b c (Å): 2.7843 2.7843 7.7594
angles (deg): 90.00 90.00 90.00
Last column: nearest neighbours and their distance in Å.
Positions (direct):
Ru (0.0000, 0.0000, 0.0093)  8 Ru 2.64-2.78, 4 Ir 2.66
Ru (0.5000, 0.5000, 0.2365)  8 Ru 2.64-2.78, 4 Br 2.70
Ir (0.5000, 0.5000, 0.7789)  4 Ru 2.66, 4 Ir 2.78
Br (0.0000, 0.0000, 0.4752)  4 Ru 2.70, 4 Br 2.78

Computed properties:
space group = P4mm, No. 99

---

What ΔE to the lowest computed polymorph values result from the calculations? In sequence: 0.8445; 0.3020; 0.0000 eV/atom.
What E_tot values result from the calculations? In sequence: -34.78; -38.99; -39.29 eV/atom.